Record 1
{
  "formula": "MnAlCd2",
  "functional": "PBE",
  "state": "optimized geometry",
  "delta_e_f_mev_per_atom": 146,
  "sg": "P4/mmm",
  "magmom_total_mub_per_atom": 0.787,
  "e_tot_ev_per_atom": -3.540,
  "volume_a3_per_atom": 17.88,
  "cell": [[-0.358, -2.409, -3.491], [4.071, -0.466, -0.096], [-0.328, -3.347, 2.344]],
  "species": ["Cd", "Cd", "Mn", "Al"],
  "fractional_positions": [[0.000, 0.500, 0.500], [0.000, 0.000, 0.000], [0.500, 0.500, 0.000], [0.500, 0.000, 0.500]]
}

Record 2
{
  "formula": "Sc2TaBi",
  "functional": "PBE",
  "state": "optimized geometry",
  "delta_e_f_mev_per_atom": 431,
  "sg": "R-3m",
  "magmom_total_mub_per_atom": 0.000,
  "e_tot_ev_per_atom": -6.668,
  "volume_a3_per_atom": 23.93,
  "cell": [[8.680, 2.556, 5.840], [10.084, 0.543, 3.743], [9.685, 3.653, 2.975]],
  "species": ["Ta", "Sc", "Sc", "Bi"],
  "fractional_positions": [[0.000, 0.000, 0.000], [0.086, 0.086, 0.086], [0.914, 0.914, 0.914], [0.500, 0.500, 0.500]]
}

Record 3
{
  "formula": "AlBi2Cl",
  "functional": "PBE",
  "state": "optimized geometry",
  "sg": "Fm-3m",
  "de_polymorph_ev_per_fu": 0.00,
  "magmom_total_mub_per_atom": 0.000,
  "formation_energy_uncorrected_kj_per_mol_atoms": -2,
  "e_tot_ev_per_atom": -3.357,
  "volume_a3_per_atom": 25.15,
  "cell": [[0.000, 3.692, 3.692], [3.692, 0.000, 3.692], [3.692, 3.692, 0.000]],
  "species": ["Al", "Bi", "Bi", "Cl"],
  "fractional_positions": [[0.000, 0.000, 0.000], [0.750, 0.750, 0.750], [0.250, 0.250, 0.250], [0.500, 0.500, 0.500]]
}

Record 4
{
  "formula": "CrNiIr2",
  "functional": "PBE",
  "state": "optimized geometry",
  "delta_e_f_mev_per_atom": 295,
  "sg": "Cmm2",
  "magmom_total_mub_per_atom": 0.210,
  "e_tot_ev_per_atom": -7.986,
  "volume_a3_per_atom": 13.48,
  "cell": [[2.630, 0.011, 0.000], [-1.227, 2.326, 0.000], [0.000, 0.000, 8.796]],
  "species": ["Ir", "Ir", "Cr", "Ni"],
  "fractional_positions": [[0.500, 0.500, 0.262], [0.000, 0.000, 0.984], [0.500, 0.500, 0.742], [0.000, 0.000, 0.513]]
}

Record 5
{
  "formula": "Tm2Al2MoRu5",
  "functional": "PBE",
  "state": "optimized geometry",
  "delta_e_f_mev_per_atom": -390,
  "sg": "P4/mbm",
  "magmom_total_mub_per_atom": 0.000,
  "e_tot_ev_per_atom": -7.754,
  "volume_a3_per_atom": 16.46,
  "cell": [[-3.208, -0.507, -0.072], [1.385, -7.889, -6.098], [0.777, -6.052, 8.006]],
  "species": ["Al", "Ru", "Mo", "Mo", "Ru", "Tm", "Al", "Al", "Tm", "Al", "Ru", "Ru", "Ru", "Ru", "Tm", "Ru", "Ru", "Tm", "Ru", "Ru"],
  "fractional_positions": [[0.000, 0.373, 0.127], [0.500, 0.066, 0.803], [0.000, 0.000, 0.000], [0.000, 0.500, 0.500], [0.500, 0.697, 0.434], [0.000, 0.329, 0.829], [0.000, 0.627, 0.873], [0.000, 0.127, 0.627], [0.000, 0.671, 0.171], [0.000, 0.873, 0.373], [0.500, 0.566, 0.697], [0.500, 0.934, 0.197], [0.500, 0.434, 0.303], [0.500, 0.000, 0.500], [0.000, 0.171, 0.329], [0.500, 0.803, 0.934], [0.500, 0.303, 0.566], [0.000, 0.829, 0.671], [0.500, 0.500, 0.000], [0.500, 0.197, 0.066]]
}

Record 6
{
  "formula": "NpFeNiP2",
  "functional": "PBE",
  "state": "optimized geometry",
  "delta_e_f_mev_per_atom": -691,
  "sg": "I-4m2",
  "magmom_total_mub_per_atom": 0.932,
  "e_tot_ev_per_atom": -8.292,
  "volume_a3_per_atom": 14.11,
  "cell": [[3.754, 0.000, 0.000], [0.000, 3.754, 0.000], [-1.877, -1.877, 5.006]],
  "species": ["P", "Fe", "P", "Np", "Ni"],
  "fractional_positions": [[0.626, 0.626, 0.252], [0.750, 0.250, 0.500], [0.374, 0.374, 0.748], [0.000, 0.000, 0.000], [0.250, 0.750, 0.500]]
}

Copy entry 3 word for word.
{
  "formula": "AlBi2Cl",
  "functional": "PBE",
  "state": "optimized geometry",
  "sg": "Fm-3m",
  "de_polymorph_ev_per_fu": 0.00,
  "magmom_total_mub_per_atom": 0.000,
  "formation_energy_uncorrected_kj_per_mol_atoms": -2,
  "e_tot_ev_per_atom": -3.357,
  "volume_a3_per_atom": 25.15,
  "cell": [[0.000, 3.692, 3.692], [3.692, 0.000, 3.692], [3.692, 3.692, 0.000]],
  "species": ["Al", "Bi", "Bi", "Cl"],
  "fractional_positions": [[0.000, 0.000, 0.000], [0.750, 0.750, 0.750], [0.250, 0.250, 0.250], [0.500, 0.500, 0.500]]
}